(1)
Mn2Si2Hg, relaxed, DFT PBE; spin magnetization = 0.572 μB/atom; space-group type = P4/mbm, No. 127; formation energy without anion corrections = 0.30 eV/f.u.; E above lowest polymorph = 0 meV per atom
1.0
-4.6420 4.3689 2.9967
-1.3399 -4.8229 4.9559
2.0409 1.0735 1.5964
Hg Mn Si
2 4 4
direct
0.0000 0.0000 0.0000
0.5000 0.5000 0.0000
0.3560 0.8560 0.0000
0.6440 0.1440 0.0000
0.8560 0.6440 0.0000
0.1440 0.3560 0.0000
0.6441 0.8559 0.5000
0.1441 0.6441 0.5000
0.3559 0.1441 0.5000
0.8559 0.3559 0.5000

(2)
CaIn12Cu4, relaxed, DFT PBE; spin magnetization = 0.000 μB/atom; space-group type = Im-3, No. 204; ΔE_f = 0.03 eV/atom
1.0
8.2154 0.0000 0.0000
-2.7385 7.7456 0.0000
-2.7385 -3.8728 6.7079
In Cu Ca
12 4 1
direct
0.8356 0.3352 0.1708
0.1644 0.6648 0.8292
0.3352 0.1708 0.8356
0.6648 0.8292 0.1644
0.1644 0.3352 0.4996
0.4996 0.1644 0.3352
0.8292 0.1644 0.6648
0.5004 0.8356 0.6648
0.6648 0.5004 0.8356
0.1708 0.8356 0.3352
0.3352 0.4996 0.1644
0.8356 0.6648 0.5004
0.5000 0.5000 0.5000
0.0000 0.5000 0.0000
0.0000 0.0000 0.5000
0.5000 0.0000 0.0000
0.0000 0.0000 0.0000

(3)
CdSi2Ge, relaxed, DFT PBE; spin magnetization = 0.000 μB/atom; space-group type = I-42d, No. 122; formation energy without anion corrections = 1.65 eV/f.u.; E above lowest polymorph = 0 meV per atom
1.0
-1.8582 -3.8848 4.2193
5.6502 -0.4786 2.0478
1.0213 1.8921 6.4991
Ge Cd Si
2 2 4
direct
0.5000 0.5000 0.0000
0.2500 0.7500 0.5000
0.0000 0.0000 0.0000
0.7500 0.2500 0.5000
0.8750 0.8467 0.7500
0.3750 0.4033 0.7500
0.5967 0.1250 0.2500
0.1533 0.6250 0.2500

(4)
HfTiBr3, relaxed, DFT PBE; spin magnetization = 0.000 μB/atom; space-group type = C2/c, No. 15; formation energy without anion corrections = -4.53 eV/f.u.; E above lowest polymorph = 71 meV per atom
1.0
6.5244 0.2208 1.1638
1.5287 9.1656 4.4466
0.8215 -0.5484 10.2539
Br Hf Ti
12 4 4
direct
0.9042 0.3614 0.8891
0.4187 0.2503 0.9387
0.9187 0.9387 0.2503
0.4042 0.8891 0.3614
0.4966 0.6484 0.7242
0.0813 0.0613 0.7497
0.5813 0.7497 0.0613
0.9966 0.7242 0.6484
0.0958 0.6386 0.1109
0.5034 0.3516 0.2758
0.5958 0.1109 0.6386
0.0034 0.2758 0.3516
0.2500 0.7274 0.2726
0.7500 0.7129 0.2871
0.7500 0.2726 0.7274
0.2500 0.2871 0.7129
0.1587 0.4441 0.4203
0.8413 0.5559 0.5797
0.3413 0.5797 0.5559
0.6587 0.4203 0.4441

| no. | density of states at the Fermi level (states/eV/f.u.) |
| --- | --- |
| 1 | 3.7 |
| 2 | 10.4 |
| 3 | 0.7 |
| 4 | 2.0 |